## Ce4ZnRh2 (PBE)

Data for a geometry-optimized Ce4ZnRh2 structure.

Values from the calculation:
spin magnetization = 4.22 μB per formula unit
SG = R-3m
energy relative to the elements = -347 meV/atom
DOS at the Fermi energy = 21.80 states/eV per cell

Cell lengths 4.5182, 4.5182, 10.3558 Å; angles 77.40, 77.40, 60.00 degrees
Closest atoms and distances in Å follow each position.
Fractional coordinates of all 7 atoms:
Ce1 0.3847 0.3847 0.8458  3 Rh 2.88, 3 Zn 3.03
Ce2 0.1979 0.1979 0.4063  4 Rh 2.92-3.19, 3 Ce 3.21
Ce3 0.8021 0.8021 0.5937  4 Rh 2.92-3.19, 3 Ce 3.21
Ce4 0.6153 0.6153 0.1542  3 Rh 2.88, 3 Zn 3.03
Zn1 0.0000 0.0000 0.0000  2 Rh 2.76, 6 Ce 3.03
Rh1 0.0918 0.0918 0.7247  1 Zn 2.76, 6 Ce 2.88-2.92
Rh2 0.9082 0.9082 0.2753  1 Zn 2.76, 6 Ce 2.88-2.92